! PrNd2YEr GGA-PBE optimized geometry; values from VASP
! energy	-4.717	eV/atom
! density	6.3	g cm⁻³
! energy relative to the elements	0.35	eV/atom
! total moment	0.00	μB/atom
&SYSTEM
  ibrav = 0, nat = 10, ntyp = 4
/
ATOMIC_SPECIES
Nd 144.24 Nd.upf
Er 167.26 Er.upf
Pr 140.91 Pr.upf
Y 88.91 Y.upf
CELL_PARAMETERS angstrom
11.051 0.000 0.000
0.000 6.858 0.000
0.000 -3.429 4.773
ATOMIC_POSITIONS angstrom
Nd 5.526 1.696 0.000
Nd 5.526 5.162 0.000
Nd 0.000 5.162 0.000
Nd 0.000 1.696 0.000
Er 8.289 3.429 3.980
Er 2.763 0.000 0.792
Pr 2.763 0.000 3.756
Pr 8.289 3.429 1.016
Y 2.763 3.429 2.340
Y 8.289 0.000 2.432

=====

! Pr6Nd3YEr2 GGA-PBE optimized geometry; values from VASP
! energy	-4.867	eV/atom
! density	6.8	g cm⁻³
! energy relative to the elements	0.01	eV/atom
! total moment	0.00	μB/atom
&SYSTEM
  ibrav = 0, nat = 12, ntyp = 4
/
ATOMIC_SPECIES
Er 167.26 Er.upf
Pr 140.91 Pr.upf
Y 88.91 Y.upf
Nd 144.24 Nd.upf
CELL_PARAMETERS angstrom
6.363 -0.002 0.014
-3.182 5.510 0.014
-1.085 -1.879 11.851
ATOMIC_POSITIONS angstrom
Er 3.181 1.835 0.014
Er 0.000 3.673 0.014
Pr -0.018 -0.030 8.948
Pr 3.164 1.792 8.962
Pr -0.029 3.636 8.962
Pr 2.124 -0.008 2.916
Pr 2.113 3.659 2.930
Pr -1.068 1.836 2.916
Y 0.000 0.000 0.000
Nd -2.133 3.651 5.939
Nd 4.228 -0.023 5.939
Nd 1.048 1.814 5.939